# 1
Compound: LiPrTlPb
Source: the Alexandria database
Functional: GGA-PBE
Structure: optimized geometry

abc: 7.593 7.593 7.593
angles: 90.00 90.00 90.00
Space group F-43m (No. 216)
One atom of each set of equivalent atoms:
Li: 0.000 0.000 0.000 x4
Pr: 0.000 0.000 0.500 x4
Tl: 0.250 0.250 0.750 x4
Pb: 0.250 0.250 0.250 x4

Results
E_form = -130 kJ/mol of formula units
energy relative to the lowest polymorph listed for this composition = 0.047 eV per atom
DFT total energy = -3.5290 eV/atom

# 2
Compound: LiPrTmPb
Source: the Alexandria database
Functional: GGA-PBE
Structure: optimized geometry

abc: 7.586 7.586 7.586
angles: 90.00 90.00 90.00
Space group F-43m (No. 216)
One atom of each set of equivalent atoms:
Li: 0.000 0.000 0.000 x4
Pr: 0.250 0.250 0.750 x4
Tm: 0.250 0.250 0.250 x4
Pb: 0.000 0.000 0.500 x4

Results
E_form = -104 kJ/mol of formula units
DFT total energy = -3.9868 eV/atom

# 3
Compound: Li2PrTm2Pb2
Source: the Alexandria database
Functional: GGA-PBE
Structure: optimized geometry

abc: 4.8788 4.8788 26.7556
angles: 90.00 90.00 120.00
Space group R-3m (No. 166, hexagonal axes)
One atom of each set of equivalent atoms:
Li: 0.0000 0.0000 0.0838 x6
Pr: 0.0000 0.0000 0.5000 x3
Tm: 0.0000 0.0000 0.3688 x6
Pb: 0.0000 0.0000 0.2405 x6

Results
E_form = -216 kJ/mol of formula units
DFT total energy = -3.8871 eV/atom

# 4
Compound: Li2PrY2Pb2
Source: the Alexandria database
Functional: GGA-PBE
Structure: optimized geometry

abc: 4.8814 4.8814 27.3719
angles: 90.00 90.00 120.00
Space group R-3m (No. 166, hexagonal axes)
One atom of each set of equivalent atoms:
Li: 0.0000 0.0000 0.0893 x6
Pr: 0.0000 0.0000 0.5000 x3
Y: 0.0000 0.0000 0.3698 x6
Pb: 0.0000 0.0000 0.2394 x6

Results
E_form = -240 kJ/mol of formula units
DFT total energy = -4.4917 eV/atom

# 5
Compound: LiPrYPb
Source: the Alexandria database
Functional: GGA-PBE
Structure: optimized geometry

abc: 7.628 7.628 7.628
angles: 90.00 90.00 90.00
Space group F-43m (No. 216)
One atom of each set of equivalent atoms:
Li: 0.000 0.000 0.000 x4
Pr: 0.250 0.250 0.750 x4
Y: 0.250 0.250 0.250 x4
Pb: 0.000 0.000 0.500 x4

Results
E_form = -123 kJ/mol of formula units
DFT total energy = -4.5352 eV/atom

# 6
Compound: Li2Pr2YPb2
Source: the Alexandria database
Functional: GGA-PBE
Structure: optimized geometry

abc: 4.8576 4.8576 28.1275
angles: 90.00 90.00 120.00
Space group R-3m (No. 166, hexagonal axes)
One atom of each set of equivalent atoms:
Li: 0.0000 0.0000 0.1055 x6
Pr: 0.0000 0.0000 0.3722 x6
Y: 0.0000 0.0000 0.5000 x3
Pb: 0.0000 0.0000 0.2317 x6

Results
E_form = -235 kJ/mol of formula units
DFT total energy = -4.2430 eV/atom

# 7
Compound: Li5PtPb
Source: the Alexandria database
Functional: GGA-PBE
Structure: optimized geometry

abc: 3.863 3.863 8.250
angles: 90.00 90.00 90.00
Space group P4/mmm (No. 123)
One atom of each set of equivalent atoms:
Li: 0.000 0.000 0.000 x1
Li: 0.000 0.500 0.232 x4
Pt: 0.500 0.500 0.000 x1
Pb: 0.000 0.000 0.500 x1

Results
E_form = -189 kJ/mol of formula units
DFT total energy = -3.0395 eV/atom

# 8
Compound: LiPtPb2
Source: the Alexandria database
Functional: GGA-PBE
Structure: optimized geometry

abc: 4.235 4.235 9.712
angles: 90.00 90.00 90.00
Space group I-4m2 (No. 119)
One atom of each set of equivalent atoms:
Li: 0.000 0.000 0.000 x2
Pt: 0.000 0.500 0.250 x2
Pb: 0.000 0.000 0.500 x2
Pb: 0.000 0.500 0.750 x2

Results
E_form = -59 kJ/mol of formula units
energy relative to the lowest polymorph listed for this composition = 0.103 eV per atom
DFT total energy = -3.9959 eV/atom